LuMgHg2 | PBEsol | relaxed

Output
VASP energy (eV/atom): -2.460
Calculated density (g cm⁻³): 11.75
SG: Fm-3m

Cell lengths 4.9327, 4.9327, 4.9327 Å; angles 60.00, 60.00, 60.00 degrees
Positions (direct):
Mg 0.0000 0.0000 0.0000
Lu 0.5000 0.5000 0.5000
Hg 0.2500 0.2500 0.2500
Hg 0.7500 0.7500 0.7500



SmLuHg2 | PBEsol | relaxed

Output
VASP energy (eV/atom): -3.332
Calculated density (g cm⁻³): 12.33
SG: Fm-3m

Cell lengths 5.1723, 5.1723, 5.1723 Å; angles 60.00, 60.00, 60.00 degrees
Positions (direct):
Lu 0.0000 0.0000 0.0000
Hg 0.7500 0.7500 0.7500
Hg 0.2500 0.2500 0.2500
Sm 0.5000 0.5000 0.5000



TbLuHg2 | PBEsol | relaxed

Output
VASP energy (eV/atom): -3.328
Calculated density (g cm⁻³): 12.79
SG: Fm-3m

Cell lengths 5.1290, 5.1290, 5.1290 Å; angles 60.00, 60.00, 60.00 degrees
Positions (direct):
Lu 0.5000 0.5000 0.5000
Tb 0.0000 0.0000 0.0000
Hg 0.2500 0.2500 0.2500
Hg 0.7500 0.7500 0.7500



TmLuHg2 | PBEsol | relaxed

Output
VASP energy (eV/atom): -3.306
Calculated density (g cm⁻³): 13.31
SG: Fm-3m

Cell lengths 5.0851, 5.0851, 5.0851 Å; angles 60.00, 60.00, 60.00 degrees
Positions (direct):
Lu 0.5000 0.5000 0.5000
Tm 0.0000 0.0000 0.0000
Hg 0.2500 0.2500 0.2500
Hg 0.7500 0.7500 0.7500



Lu2ZnHg | PBEsol | relaxed

Output
VASP energy (eV/atom): -3.429
Calculated density (g cm⁻³): 11.77
SG: Fm-3m

Cell lengths 4.9712, 4.9712, 4.9712 Å; angles 60.00, 60.00, 60.00 degrees
Positions (direct):
Zn 0.0000 0.0000 0.0000
Lu 0.2500 0.2500 0.2500
Lu 0.7500 0.7500 0.7500
Hg 0.5000 0.5000 0.5000



MgHg | PBEsol | relaxed

Output
VASP energy (eV/atom): -1.374
Calculated density (g cm⁻³): 8.83
SG: P4/nmm

Cell lengths 3.8119, 3.8119, 5.8242 Å; angles 90.00, 90.00, 90.00 degrees
Positions (direct):
Mg 0.5000 0.0000 0.3464
Mg 0.0000 0.5000 0.6536
Hg 0.5000 0.0000 0.8459
Hg 0.0000 0.5000 0.1541



Mg5Hg | PBEsol | relaxed

Output
VASP energy (eV/atom): -1.636
Calculated density (g cm⁻³): 4.17
SG: R32

Cell lengths 5.4008, 5.4008, 5.9602 Å; angles 63.06, 63.06, 60.00 degrees
Positions (direct):
Mg 0.5000 0.8387 0.5000
Mg 0.1613 0.5000 0.5000
Mg 0.8387 0.1613 0.5000
Mg 0.6666 0.6666 0.0001
Mg 0.3334 0.3334 0.9999
Hg 0.0000 0.0000 0.0000



MgHg | PBEsol | relaxed

Output
VASP energy (eV/atom): -1.363
Calculated density (g cm⁻³): 8.74
SG: P-6m2

Cell lengths 3.3282, 3.3282, 4.4536 Å; angles 90.00, 90.00, 120.00 degrees
Positions (direct):
Mg 0.6667 0.3333 0.5000
Hg 0.0000 0.0000 0.0000



MgHg2 | PBEsol | relaxed

Output
VASP energy (eV/atom): -1.122
Calculated density (g cm⁻³): 10.98
SG: P6_3/mmc

Cell lengths 4.9246, 4.9246, 6.1302 Å; angles 90.00, 90.00, 120.00 degrees
Positions (direct):
Mg 0.6667 0.3333 0.2500
Mg 0.3333 0.6667 0.7500
Hg 0.0000 0.0000 0.0000
Hg 0.0000 0.0000 0.5000
Hg 0.6667 0.3333 0.7500
Hg 0.3333 0.6667 0.2500



Mg5Hg | PBEsol | relaxed

Output
VASP energy (eV/atom): -1.627
Calculated density (g cm⁻³): 4.12
SG: Cm

Cell lengths 3.2167, 5.9405, 7.3227 Å; angles 104.94, 90.00, 105.71 degrees
Positions (direct):
Mg 0.3918 0.7835 0.2659
Mg 0.6700 0.3401 0.3339
Mg 0.0549 0.1097 0.6066
Mg 0.3399 0.6798 0.6829
Mg 0.7114 0.4229 0.9426
Hg 0.9987 0.9973 0.0014



MgHg3 | PBEsol | relaxed

Output
VASP energy (eV/atom): -1.007
Calculated density (g cm⁻³): 12.04
SG: Pm-3m

Cell lengths 4.4204, 4.4204, 4.4204 Å; angles 90.00, 90.00, 90.00 degrees
Positions (direct):
Mg 0.5000 0.5000 0.5000
Hg 0.0000 0.0000 0.5000
Hg 0.0000 0.5000 0.0000
Hg 0.5000 0.0000 0.0000



MgHg3 | PBEsol | relaxed

Output
VASP energy (eV/atom): -1.005
Calculated density (g cm⁻³): 11.84
SG: C2/m

Cell lengths 3.7082, 5.1209, 5.1054 Å; angles 102.67, 90.00, 111.23 degrees
Positions (direct):
Mg 0.5000 0.0000 0.0000
Hg 0.7542 0.5083 0.7625
Hg 0.2458 0.4917 0.2375
Hg 0.0000 0.0000 0.5000



MgHg3 | PBEsol | relaxed

Output
VASP energy (eV/atom): -0.999
Calculated density (g cm⁻³): 11.95
SG: Pmmm

Cell lengths 3.4582, 4.1016, 6.1321 Å; angles 90.00, 90.00, 90.00 degrees
Positions (direct):
Mg 0.5000 0.5000 0.0000
Hg 0.0000 0.0000 0.7575
Hg 0.0000 0.0000 0.2425
Hg 0.5000 0.5000 0.5000



MgHg2 | PBEsol | relaxed

Output
VASP energy (eV/atom): -1.164
Calculated density (g cm⁻³): 11.11
SG: I4/mmm

Cell lengths 3.8130, 3.8129, 5.1369 Å; angles 111.75, 111.79, 90.00 degrees
Positions (direct):
Mg 0.5000 0.5000 0.0000
Hg 0.8332 0.8338 0.6665
Hg 0.1668 0.1662 0.3335



MgHg3 | PBEsol | relaxed

Output
VASP energy (eV/atom): -1.003
Calculated density (g cm⁻³): 11.96
SG: P4/mmm

Cell lengths 3.7736, 3.7736, 6.1057 Å; angles 90.00, 90.00, 90.00 degrees
Positions (direct):
Mg 0.5000 0.5000 0.5000
Hg 0.0000 0.0000 0.2561
Hg 0.0000 0.0000 0.7439
Hg 0.5000 0.5000 0.0000



Mg5Hg4 | PBEsol | relaxed

Output
VASP energy (eV/atom): -1.410
Calculated density (g cm⁻³): 8.26
SG: I4/mmm

Cell lengths 4.4972, 6.8091, 6.8091 Å; angles 83.74, 70.72, 70.72 degrees
Positions (direct):
Hg 0.6806 0.3194 0.3194
Hg 0.3194 0.6806 0.6806
Hg 0.0000 0.3194 0.6806
Hg 0.0000 0.6806 0.3194
Mg 0.0000 0.0000 0.0000
Mg 0.6711 0.6579 0.0000
Mg 0.3289 0.0000 0.3421
Mg 0.6711 0.0000 0.6579
Mg 0.3289 0.3421 0.0000



MgHg | PBEsol | relaxed

Output
VASP energy (eV/atom): -1.445
Calculated density (g cm⁻³): 9.21
SG: Pm-3m

Cell lengths 3.4360, 3.4360, 3.4347 Å; angles 90.00, 90.00, 90.00 degrees
Positions (direct):
Mg 0.5000 0.5000 0.5000
Hg 0.0000 0.0000 0.0000



MgHg2 | PBEsol | relaxed

Output
VASP energy (eV/atom): -1.111
Calculated density (g cm⁻³): 10.81
SG: P-3m1

Cell lengths 3.4675, 4.6654, 4.6654 Å; angles 120.00, 90.00, 90.00 degrees
Positions (direct):
Mg 0.0000 0.0000 0.0000
Hg 0.6573 0.3333 0.6667
Hg 0.3427 0.6667 0.3333



Mg5Hg | PBEsol | relaxed

Output
VASP energy (eV/atom): -1.612
Calculated density (g cm⁻³): 4.04
SG: P4/mmm

Cell lengths 3.2226, 3.2226, 12.7366 Å; angles 90.00, 90.00, 90.00 degrees
Positions (direct):
Mg 0.0000 0.0000 0.6500
Mg 0.5000 0.5000 0.8259
Mg 0.0000 0.0000 0.0000
Mg 0.5000 0.5000 0.1741
Mg 0.0000 0.0000 0.3500
Hg 0.5000 0.5000 0.5000



MgHg2 | PBEsol | relaxed

Output
VASP energy (eV/atom): -1.084
Calculated density (g cm⁻³): 10.39
SG: I4/mcm

Cell lengths 5.6143, 5.6143, 5.6143 Å; angles 108.26, 108.26, 111.93 degrees
Positions (direct):
Mg 0.7500 0.7500 0.0000
Mg 0.2500 0.2500 0.0000
Hg 0.1594 0.6594 0.8188
Hg 0.6594 0.8406 0.5000
Hg 0.3406 0.1594 0.5000
Hg 0.8406 0.3406 0.1812



MgHg3 | PBEsol | relaxed

Output
VASP energy (eV/atom): -0.974
Calculated density (g cm⁻³): 11.75
SG: R-3m

Cell lengths 3.3812, 3.3812, 9.1440 Å; angles 79.35, 79.35, 60.00 degrees
Positions (direct):
Mg 0.0000 0.0000 0.0000
Hg 0.2531 0.2531 0.2407
Hg 0.5000 0.5000 0.5000
Hg 0.7469 0.7469 0.7593



Mg5Hg | PBEsol | relaxed

Output
VASP energy (eV/atom): -1.638
Calculated density (g cm⁻³): 4.17
SG: Cmmm

Cell lengths 4.4400, 4.3963, 6.9379 Å; angles 90.00, 108.66, 90.00 degrees
Positions (direct):
Mg 0.3354 0.5000 0.6709
Mg 0.1619 0.0000 0.3239
Mg 0.0000 0.5000 0.0000
Mg 0.8381 0.0000 0.6761
Mg 0.6646 0.5000 0.3291
Hg 0.5000 0.0000 0.0000



Mg5Hg | PBEsol | relaxed

Output
VASP energy (eV/atom): -1.637
Calculated density (g cm⁻³): 4.20
SG: P-62m

Cell lengths 5.0489, 5.3981, 5.3981 Å; angles 120.00, 90.00, 90.00 degrees
Positions (direct):
Mg 0.0000 0.3260 0.3260
Mg 0.0000 0.6740 0.0000
Mg 0.0000 0.0000 0.6740
Mg 0.5000 0.3333 0.6667
Mg 0.5000 0.6667 0.3333
Hg 0.5000 0.0000 0.0000



MgHg3 | PBEsol | relaxed

Output
VASP energy (eV/atom): -0.975
Calculated density (g cm⁻³): 11.85
SG: Fm-3m

Cell lengths 4.9872, 4.9872, 4.9872 Å; angles 60.00, 60.00, 60.00 degrees
Positions (direct):
Mg 0.5000 0.5000 0.5000
Hg 0.2500 0.2500 0.2500
Hg 0.7500 0.7500 0.7500
Hg 0.0000 0.0000 0.0000



MgHg | PBEsol | relaxed

Output
VASP energy (eV/atom): -1.361
Calculated density (g cm⁻³): 8.68
SG: P6_3/mmc

Cell lengths 3.3745, 3.3745, 8.7291 Å; angles 90.00, 90.00, 120.00 degrees
Positions (direct):
Mg 0.6667 0.3333 0.7500
Mg 0.3333 0.6667 0.2500
Hg 0.0000 0.0000 0.0000
Hg 0.0000 0.0000 0.5000



MgHg2 | PBEsol | relaxed

Output
VASP energy (eV/atom): -1.164
Calculated density (g cm⁻³): 11.08
SG: Immm

Cell lengths 3.7212, 3.9520, 8.6708 Å; angles 90.00, 90.00, 90.00 degrees
Positions (direct):
Mg 0.0000 0.0000 0.0000
Mg 0.5000 0.5000 0.5000
Hg 0.0000 0.9996 0.3325
Hg 0.5000 0.5004 0.8325
Hg 0.5000 0.4996 0.1675
Hg 0.0000 0.0004 0.6675



MgHg2 | PBEsol | relaxed

Output
VASP energy (eV/atom): -1.099
Calculated density (g cm⁻³): 10.58
SG: Fd-3m

Cell lengths 9.1079, 9.1079, 9.1079 Å; angles 60.00, 60.00, 60.00 degrees
Positions (direct):
Hg 0.1250 0.6250 0.6250
Hg 0.6250 0.6250 0.6250
Hg 0.6250 0.6250 0.1250
Hg 0.6250 0.1250 0.6250
Hg 0.0682 0.4318 0.4318
Hg 0.0682 0.4318 0.0682
Hg 0.4318 0.4318 0.0682
Hg 0.0682 0.0682 0.4318
Hg 0.4318 0.0682 0.4318
Hg 0.4318 0.0682 0.0682
Hg 0.1818 0.8182 0.8182
Hg 0.1818 0.8182 0.1818
Hg 0.8182 0.8182 0.1818
Hg 0.1818 0.1818 0.8182
Hg 0.8182 0.1818 0.8182
Hg 0.8182 0.1818 0.1818
Mg 0.8411 0.4767 0.8411
Mg 0.8411 0.8411 0.4767
Mg 0.8411 0.8411 0.8411
Mg 0.4767 0.8411 0.8411
Mg 0.4089 0.7733 0.4089
Mg 0.4089 0.4089 0.7733
Mg 0.4089 0.4089 0.4089
Mg 0.7733 0.4089 0.4089



MgHg3 | PBEsol | relaxed

Output
VASP energy (eV/atom): -0.965
Calculated density (g cm⁻³): 11.68
SG: P-6m2

Cell lengths 3.3850, 3.3850, 8.9683 Å; angles 90.00, 90.00, 120.00 degrees
Positions (direct):
Mg 0.0000 0.0000 0.5000
Hg 0.3333 0.6667 0.2606
Hg 0.3333 0.6667 0.7394
Hg 0.0000 0.0000 0.0000